Record 1
Entry from the Alexandria database: a geometry-optimized AcGeBPd6 structure (PBE).

Cell and atoms, written as POSCAR:
```
AcGeBPd6
1.0
7.172 0.000 0.000
0.000 8.365 0.000
-3.586 -4.182 5.670
Pd B Ge Ac
12 2 2 2
Direct
0.411 0.106 0.247
0.164 0.894 0.753
0.898 0.148 0.796
0.545 0.295 0.091
0.455 0.705 0.909
0.836 0.106 0.247
0.836 0.641 0.247
0.164 0.359 0.753
0.411 0.641 0.247
0.102 0.852 0.204
0.589 0.894 0.753
0.589 0.359 0.753
0.500 0.500 0.000
0.500 0.000 0.000
0.000 0.000 0.500
0.500 0.000 0.500
0.174 0.424 0.347
0.826 0.576 0.653
```

Output
Volume (Å³/cell): 340.1
Crystal system: orthorhombic
Electronic total energy (eV per atom): -5.58
ΔE_f (eV per atom): -0.408

---

Record 2
Entry from the Alexandria database: a geometry-optimized Ac2GeBPt6 structure (PBE).

Cell and atoms, written as POSCAR:
```
Ac2GeBPt6
1.0
5.879 0.000 0.001
0.000 6.425 -0.001
-2.940 -3.214 5.176
Pt Ac B Ge
6 2 1 1
Direct
0.213 0.751 0.941
0.213 0.190 0.941
0.782 0.782 0.563
0.728 0.751 0.941
0.728 0.190 0.941
0.277 0.278 0.554
0.210 0.712 0.421
0.727 0.228 0.454
0.072 0.072 0.144
0.549 0.549 0.098
```

Output
Volume (Å³/cell): 195.5
Crystal system: monoclinic
Electronic total energy (eV per atom): -6.45
ΔE_f (eV per atom): -0.871

---

Record 3
Entry from the Alexandria database: a geometry-optimized Ac3GeB2Pt9 structure (PBE).

Cell and atoms, written as POSCAR:
```
Ac3GeB2Pt9
1.0
5.994 0.000 0.000
-2.997 5.191 0.000
0.000 0.000 9.283
Pt Ac B Ge
9 3 2 1
Direct
0.000 0.500 0.000
0.664 0.832 0.290
0.832 0.664 0.710
0.832 0.168 0.710
0.500 0.000 0.000
0.168 0.832 0.290
0.500 0.500 0.000
0.168 0.336 0.290
0.336 0.168 0.710
0.000 0.000 0.000
0.667 0.333 0.378
0.333 0.667 0.622
0.333 0.667 0.149
0.667 0.333 0.851
0.000 0.000 0.500
```

Output
Volume (Å³/cell): 288.9
Crystal system: trigonal
Electronic total energy (eV per atom): -6.41
ΔE_f (eV per atom): -0.767

---

Record 4
Entry from the Alexandria database: a geometry-optimized AcGeBRh3 structure (PBE).

Cell and atoms, written as POSCAR:
```
AcGeBRh3
1.0
5.898 0.000 0.000
0.000 5.884 0.000
0.000 -2.942 6.194
Ac Ge Rh B
2 2 6 2
Direct
0.750 0.253 0.507
0.250 0.747 0.493
0.250 0.390 0.780
0.750 0.610 0.220
0.750 0.808 0.616
0.500 0.243 0.000
0.250 0.192 0.384
0.000 0.757 0.000
0.500 0.757 0.000
0.000 0.243 0.000
0.250 0.025 0.049
0.750 0.975 0.951
```

Output
Volume (Å³/cell): 214.9
Crystal system: orthorhombic
Electronic total energy (eV per atom): -6.94
ΔE_f (eV per atom): -0.702

---

Record 5
Entry from the Alexandria database: a geometry-optimized Ac2GeBRh6 structure (PBE).

Cell and atoms, written as POSCAR:
```
Ac2GeBRh6
1.0
-0.750 1.334 -6.183
-5.897 -2.402 0.197
-3.240 8.129 2.147
Rh Ge Ac B
12 2 4 2
Direct
0.769 0.519 0.000
0.269 0.481 0.500
0.766 0.984 0.000
0.000 0.752 0.768
0.266 0.016 0.500
0.000 0.752 0.232
0.231 0.519 0.000
0.500 0.248 0.268
0.234 0.984 0.000
0.734 0.016 0.500
0.731 0.481 0.500
0.500 0.248 0.732
0.000 0.746 0.500
0.500 0.254 0.000
0.000 0.251 0.750
0.500 0.749 0.250
0.500 0.749 0.750
0.000 0.251 0.250
0.500 0.247 0.500
0.000 0.753 0.000
```

Output
Volume (Å³/cell): 365.7
Crystal system: orthorhombic
Electronic total energy (eV per atom): -6.97
ΔE_f (eV per atom): -0.613

---

Record 6
Entry from the Alexandria database: a geometry-optimized Ac3GeB2Rh9 structure (PBE).

Cell and atoms, written as POSCAR:
```
Ac3GeB2Rh9
1.0
-4.468 2.108 -3.861
-1.179 -0.601 6.129
2.420 7.292 1.181
Ac Rh B Ge
3 9 2 1
Direct
0.667 0.333 0.336
0.333 0.667 0.664
0.000 0.000 0.000
0.179 0.358 0.312
0.821 0.642 0.688
0.000 0.500 0.000
0.642 0.821 0.312
0.500 0.500 0.000
0.358 0.179 0.688
0.821 0.179 0.688
0.500 0.000 0.000
0.179 0.821 0.312
0.333 0.667 0.145
0.667 0.333 0.855
0.000 0.000 0.500
```

Output
Volume (Å³/cell): 264.6
Crystal system: trigonal
Electronic total energy (eV per atom): -7.05
ΔE_f (eV per atom): -0.619